This record from Alexandria via LeMat-Bulk describes crystalline HfNbB2 at its relaxed geometry. The functional is PBE.

Lattice parameters (Å, degrees): 3.1881 3.3934 9.0644 90.00 90.00 90.00
Closest atoms and distances in Å follow each position.
Space group Amm2 (No. 38)
Unique sites:
Hf: 0.0000 0.0000 0.0000  7 B 2.49-2.67
Nb: 0.5000 0.0000 0.7124  6 B 2.43-2.44
B: 0.0000 0.0000 0.2946  2 B 1.88
B: 0.5000 0.0000 0.4039  2 B 1.88

Total DFT energy (no corrections) in eV/cell: -72.90
Magnetization in Bohr magnetons per cell: 0.00
Formation energy in meV/atom: -768